## 1
{"formula": "BaBeNb3", "functional": "GGA-PBE", "state": "optimized geometry", "crystal_system": "cubic", "spacegroup": "Pm-3m (221)", "m_tot_mub_per_cell": 0.66, "lattice_angstrom": [[4.736, 0.000, 0.000], [0.000, 4.736, 0.000], [0.000, 0.000, 4.736]], "species": ["Ba", "Be", "Nb", "Nb", "Nb"], "fractional_positions": [[0.000, 0.000, 0.000], [0.500, 0.500, 0.500], [0.000, 0.500, 0.500], [0.500, 0.000, 0.500], [0.500, 0.500, 0.000]]}

## 2
{"formula": "BaBeNb3", "functional": "GGA-PBE", "state": "optimized geometry", "crystal_system": "cubic", "spacegroup": "Pm-3m (221)", "m_tot_mub_per_cell": 0.00, "lattice_angstrom": [[5.034, 0.000, 0.000], [0.000, 5.034, 0.000], [0.000, 0.000, 5.034]], "species": ["Ba", "Be", "Nb", "Nb", "Nb"], "fractional_positions": [[0.000, 0.000, 0.000], [0.500, 0.500, 0.500], [0.000, 0.000, 0.500], [0.000, 0.500, 0.000], [0.500, 0.000, 0.000]]}

Result of the stability comparison: 1 is the most stable of them.

## 1
{"formula": "BaBe2Ni", "functional": "GGA-PBE", "state": "optimized geometry", "crystal_system": "monoclinic", "spacegroup": "Pm (6)", "m_tot_mub_per_cell": 0.00, "lattice_angstrom": [[4.272, 0.000, 0.000], [0.000, 3.809, 0.000], [-0.011, 0.000, 5.175]], "species": ["Ba", "Be", "Be", "Ni"], "fractional_positions": [[0.000, 0.000, 0.000], [0.243, 0.500, 0.501], [0.516, 0.000, 0.500], [0.732, 0.500, 0.499]]}

## 2
{"formula": "BaBe2Ni", "functional": "GGA-PBE", "state": "optimized geometry", "crystal_system": "tetragonal", "spacegroup": "P4mm (99)", "m_tot_mub_per_cell": 0.00, "lattice_angstrom": [[3.107, 0.000, 0.000], [0.000, 3.107, 0.000], [0.000, 0.000, 7.020]], "species": ["Ba", "Be", "Be", "Ni"], "fractional_positions": [[0.000, 0.000, 0.000], [0.000, 0.000, 0.527], [0.500, 0.500, 0.360], [0.500, 0.500, 0.651]]}

## 3
{"formula": "BaBe2Ni", "functional": "GGA-PBE", "state": "optimized geometry", "crystal_system": "tetragonal", "spacegroup": "P4/mmm (123)", "m_tot_mub_per_cell": 0.00, "lattice_angstrom": [[3.028, 0.000, 0.000], [0.000, 3.028, 0.000], [0.000, 0.000, 7.175]], "species": ["Ba", "Be", "Be", "Ni"], "fractional_positions": [[0.000, 0.000, 0.000], [0.500, 0.500, 0.356], [0.500, 0.500, 0.644], [0.000, 0.000, 0.500]]}

## 4
{"formula": "BaBe2Ni", "functional": "GGA-PBE", "state": "optimized geometry", "crystal_system": "monoclinic", "spacegroup": "C2/m (12)", "m_tot_mub_per_cell": 0.00, "lattice_angstrom": [[5.277, 0.000, 0.000], [0.000, 7.609, 0.000], [-2.618, 0.000, 3.761]], "species": ["Ba", "Ba", "Be", "Be", "Be", "Be", "Ni", "Ni"], "fractional_positions": [[0.000, 0.000, 0.000], [0.500, 0.500, 0.000], [0.250, 0.250, 0.500], [0.250, 0.750, 0.500], [0.750, 0.250, 0.500], [0.750, 0.750, 0.500], [0.000, 0.500, 0.000], [0.500, 0.000, 0.000]]}

Result of the stability comparison: 1 is the most stable of them.

## 1
{"formula": "BaBe2Ni", "functional": "GGA-PBE", "state": "optimized geometry", "crystal_system": "trigonal", "spacegroup": "R-3m (166)", "m_tot_mub_per_cell": 0.00, "lattice_angstrom": [[3.865, 0.000, 0.000], [-1.933, 3.347, 0.000], [0.000, 0.000, 17.155]], "species": ["Ba", "Ba", "Ba", "Be", "Be", "Be", "Be", "Be", "Be", "Ni", "Ni", "Ni"], "fractional_positions": [[0.000, 0.000, 0.000], [0.333, 0.667, 0.667], [0.667, 0.333, 0.333], [0.000, 0.000, 0.179], [0.000, 0.000, 0.821], [0.333, 0.667, 0.487], [0.333, 0.667, 0.846], [0.667, 0.333, 0.154], [0.667, 0.333, 0.513], [0.000, 0.000, 0.500], [0.333, 0.667, 0.167], [0.667, 0.333, 0.833]]}

## 2
{"formula": "BaBe2Ni", "functional": "GGA-PBE", "state": "optimized geometry", "crystal_system": "tetragonal", "spacegroup": "I-4m2 (119)", "m_tot_mub_per_cell": 0.00, "lattice_angstrom": [[4.771, 0.000, 0.000], [0.000, 4.771, 0.000], [0.000, 0.000, 6.728]], "species": ["Ba", "Ba", "Be", "Be", "Be", "Be", "Ni", "Ni"], "fractional_positions": [[0.000, 0.000, 0.000], [0.500, 0.500, 0.500], [0.000, 0.000, 0.500], [0.000, 0.500, 0.750], [0.500, 0.000, 0.250], [0.500, 0.500, 0.000], [0.000, 0.500, 0.250], [0.500, 0.000, 0.750]]}

## 3
{"formula": "BaBe2Ni", "functional": "GGA-PBE", "state": "optimized geometry", "crystal_system": "orthorhombic", "spacegroup": "Immm (71)", "m_tot_mub_per_cell": 0.00, "lattice_angstrom": [[3.692, 0.000, 0.000], [0.000, 6.084, 0.000], [0.000, 0.000, 7.668]], "species": ["Ba", "Ba", "Be", "Be", "Be", "Be", "Ni", "Ni"], "fractional_positions": [[0.000, 0.000, 0.000], [0.500, 0.500, 0.500], [0.000, 0.500, 0.138], [0.000, 0.500, 0.862], [0.500, 0.000, 0.362], [0.500, 0.000, 0.638], [0.000, 0.000, 0.500], [0.500, 0.500, 0.000]]}

## 4
{"formula": "BaBe2Ni", "functional": "GGA-PBE", "state": "optimized geometry", "crystal_system": "orthorhombic", "spacegroup": "Cmmm (65)", "m_tot_mub_per_cell": 0.00, "lattice_angstrom": [[5.221, 0.000, 0.000], [0.000, 8.275, 0.000], [0.000, 0.000, 3.404]], "species": ["Ba", "Ba", "Be", "Be", "Be", "Be", "Ni", "Ni"], "fractional_positions": [[0.000, 0.000, 0.000], [0.500, 0.500, 0.000], [0.250, 0.250, 0.500], [0.250, 0.750, 0.500], [0.750, 0.250, 0.500], [0.750, 0.750, 0.500], [0.000, 0.500, 0.000], [0.500, 0.000, 0.000]]}

Result of the stability comparison: 1 is the most stable of them.

## 1
{"formula": "BaBeNi2", "functional": "GGA-PBE", "state": "optimized geometry", "crystal_system": "monoclinic", "spacegroup": "Pm (6)", "m_tot_mub_per_cell": 0.00, "lattice_angstrom": [[4.152, 0.000, 0.000], [0.000, 3.992, 0.000], [-0.570, 0.000, 4.982]], "species": ["Ba", "Be", "Ni", "Ni"], "fractional_positions": [[0.000, 0.000, 0.000], [0.365, 0.500, 0.560], [0.508, 0.000, 0.492], [0.857, 0.500, 0.484]]}

## 2
{"formula": "BaBeNi2", "functional": "GGA-PBE", "state": "optimized geometry", "crystal_system": "tetragonal", "spacegroup": "I4_1/amd (141)", "m_tot_mub_per_cell": 0.00, "lattice_angstrom": [[4.782, 0.000, 0.000], [0.000, 4.782, 0.000], [0.000, 0.000, 14.441]], "species": ["Ba", "Ba", "Ba", "Ba", "Be", "Be", "Be", "Be", "Ni", "Ni", "Ni", "Ni", "Ni", "Ni", "Ni", "Ni"], "fractional_positions": [[0.000, 0.250, 0.375], [0.000, 0.750, 0.625], [0.500, 0.250, 0.125], [0.500, 0.750, 0.875], [0.000, 0.250, 0.875], [0.000, 0.750, 0.125], [0.500, 0.250, 0.625], [0.500, 0.750, 0.375], [0.000, 0.000, 0.000], [0.000, 0.500, 0.000], [0.250, 0.250, 0.750], [0.250, 0.750, 0.250], [0.500, 0.000, 0.500], [0.500, 0.500, 0.500], [0.750, 0.250, 0.750], [0.750, 0.750, 0.250]]}

Result of the stability comparison: 2 is the most stable of them.

## 1
{"formula": "BaBeNi2", "functional": "GGA-PBE", "state": "optimized geometry", "crystal_system": "cubic", "spacegroup": "Fm-3m (225)", "m_tot_mub_per_cell": 0.00, "lattice_angstrom": [[6.655, 0.000, 0.000], [0.000, 6.655, 0.000], [0.000, 0.000, 6.655]], "species": ["Ba", "Ba", "Ba", "Ba", "Be", "Be", "Be", "Be", "Ni", "Ni", "Ni", "Ni", "Ni", "Ni", "Ni", "Ni"], "fractional_positions": [[0.000, 0.000, 0.000], [0.000, 0.500, 0.500], [0.500, 0.000, 0.500], [0.500, 0.500, 0.000], [0.000, 0.000, 0.500], [0.000, 0.500, 0.000], [0.500, 0.000, 0.000], [0.500, 0.500, 0.500], [0.250, 0.250, 0.250], [0.250, 0.250, 0.750], [0.250, 0.750, 0.250], [0.250, 0.750, 0.750], [0.750, 0.250, 0.250], [0.750, 0.250, 0.750], [0.750, 0.750, 0.250], [0.750, 0.750, 0.750]]}

## 2
{"formula": "BaBeNi2", "functional": "GGA-PBE", "state": "optimized geometry", "crystal_system": "tetragonal", "spacegroup": "P4/mmm (123)", "m_tot_mub_per_cell": 0.00, "lattice_angstrom": [[3.076, 0.000, 0.000], [0.000, 3.076, 0.000], [0.000, 0.000, 7.013]], "species": ["Ba", "Be", "Ni", "Ni"], "fractional_positions": [[0.000, 0.000, 0.000], [0.000, 0.000, 0.500], [0.500, 0.500, 0.337], [0.500, 0.500, 0.663]]}

## 3
{"formula": "BaBeNi2", "functional": "GGA-PBE", "state": "optimized geometry", "crystal_system": "cubic", "spacegroup": "F-43m (216)", "m_tot_mub_per_cell": 0.00, "lattice_angstrom": [[6.664, 0.000, 0.000], [0.000, 6.664, 0.000], [0.000, 0.000, 6.664]], "species": ["Ba", "Ba", "Ba", "Ba", "Be", "Be", "Be", "Be", "Ni", "Ni", "Ni", "Ni", "Ni", "Ni", "Ni", "Ni"], "fractional_positions": [[0.000, 0.000, 0.000], [0.000, 0.500, 0.500], [0.500, 0.000, 0.500], [0.500, 0.500, 0.000], [0.250, 0.250, 0.250], [0.250, 0.750, 0.750], [0.750, 0.250, 0.750], [0.750, 0.750, 0.250], [0.000, 0.000, 0.500], [0.000, 0.500, 0.000], [0.250, 0.250, 0.750], [0.250, 0.750, 0.250], [0.500, 0.000, 0.000], [0.500, 0.500, 0.500], [0.750, 0.250, 0.250], [0.750, 0.750, 0.750]]}

## 4
{"formula": "BaBeNi2", "functional": "GGA-PBE", "state": "optimized geometry", "crystal_system": "orthorhombic", "spacegroup": "Immm (71)", "m_tot_mub_per_cell": 0.00, "lattice_angstrom": [[3.662, 0.000, 0.000], [0.000, 5.784, 0.000], [0.000, 0.000, 7.497]], "species": ["Ba", "Ba", "Be", "Be", "Ni", "Ni", "Ni", "Ni"], "fractional_positions": [[0.000, 0.000, 0.000], [0.500, 0.500, 0.500], [0.000, 0.000, 0.500], [0.500, 0.500, 0.000], [0.000, 0.500, 0.158], [0.000, 0.500, 0.842], [0.500, 0.000, 0.342], [0.500, 0.000, 0.658]]}

Result of the stability comparison: 2 is the most stable of them.

## 1
{"formula": "BaBeNi", "functional": "GGA-PBE", "state": "optimized geometry", "crystal_system": "hexagonal", "spacegroup": "P-6m2 (187)", "m_tot_mub_per_cell": 0.00, "lattice_angstrom": [[3.993, 0.000, 0.000], [-1.997, 3.458, 0.000], [0.000, 0.000, 4.803]], "species": ["Ba", "Be", "Ni"], "fractional_positions": [[0.000, 0.000, 0.000], [0.333, 0.667, 0.500], [0.667, 0.333, 0.500]]}

## 2
{"formula": "BaBeNi", "functional": "GGA-PBE", "state": "optimized geometry", "crystal_system": "cubic", "spacegroup": "F-43m (216)", "m_tot_mub_per_cell": 0.00, "lattice_angstrom": [[6.707, 0.000, 0.000], [0.000, 6.707, 0.000], [0.000, 0.000, 6.707]], "species": ["Ba", "Ba", "Ba", "Ba", "Be", "Be", "Be", "Be", "Ni", "Ni", "Ni", "Ni"], "fractional_positions": [[0.000, 0.000, 0.000], [0.000, 0.500, 0.500], [0.500, 0.000, 0.500], [0.500, 0.500, 0.000], [0.000, 0.000, 0.500], [0.000, 0.500, 0.000], [0.500, 0.000, 0.000], [0.500, 0.500, 0.500], [0.250, 0.250, 0.250], [0.250, 0.750, 0.750], [0.750, 0.250, 0.750], [0.750, 0.750, 0.250]]}

Result of the stability comparison: 1 is the most stable of them.